# 1
Material: U4Al
Method: DFT, PBE
State: optimized geometry

Geometry as POSCAR:
```
U4Al
1.0
5.1716 0.0000 0.0000
0.0000 5.1716 0.0000
0.0000 0.0000 5.1716
U Al
4 1
Direct
0.0000 0.0000 0.0000
0.0000 0.5000 0.5000
0.5000 0.0000 0.5000
0.5000 0.5000 0.0000
0.5000 0.5000 0.5000
```

Energy of formation, eV per atom: 1.61
Density of states at the Fermi level, states/eV/atom: 5.85
Total magnetization, μB per formula unit: 8.199
Final energy, eV for the cell shown: -40.87

***

# 2
Material: U4Al
Method: DFT, PBE
State: optimized geometry

Geometry as POSCAR:
```
U4Al
1.0
0.0000 5.0760 5.0760
5.0760 0.0000 5.0760
5.0760 5.0760 0.0000
U Al
8 2
Direct
0.1471 0.7843 0.7843
0.2157 0.2157 0.2157
0.2157 0.2157 0.8529
0.2157 0.8529 0.2157
0.7843 0.1471 0.7843
0.7843 0.7843 0.1471
0.7843 0.7843 0.7843
0.8529 0.2157 0.2157
0.3750 0.3750 0.3750
0.6250 0.6250 0.6250
```

Energy of formation, eV per atom: 1.12
Density of states at the Fermi level, states/eV/atom: 3.03
Total magnetization, μB per formula unit: 3.770
Final energy, eV for the cell shown: -86.62

***

# 3
Material: UAl2
Method: DFT, PBE
State: optimized geometry

Geometry as POSCAR:
```
UAl2
1.0
0.0000 3.8594 3.8594
3.8594 0.0000 3.8594
3.8594 3.8594 0.0000
U Al
2 4
Direct
0.1250 0.1250 0.1250
0.8750 0.8750 0.8750
0.0000 0.5000 0.5000
0.5000 0.0000 0.5000
0.5000 0.5000 0.0000
0.5000 0.5000 0.5000
```

Energy of formation, eV per atom: -0.16
Density of states at the Fermi level, states/eV/atom: 1.58
Total magnetization, μB per formula unit: 2.802
Final energy, eV for the cell shown: -38.50

***

# 4
Material: UAl2
Method: DFT, PBE
State: optimized geometry

Geometry as POSCAR:
```
UAl2
1.0
-1.3966 1.3966 6.9208
1.3966 -1.3966 6.9208
1.3966 1.3966 -6.9208
U Al
1 2
Direct
0.0000 0.0000 0.0000
0.3282 0.3282 0.0000
0.6718 0.6718 0.0000
```

Energy of formation, eV per atom: -0.04
Density of states at the Fermi level, states/eV/atom: 1.15
Total magnetization, μB per formula unit: 0.733
Final energy, eV for the cell shown: -18.90

***

# 5
Material: UAl3
Method: DFT, PBE
State: optimized geometry

Geometry as POSCAR:
```
UAl3
1.0
6.1685 0.0000 0.0000
-3.0842 5.3421 0.0000
0.0000 0.0000 4.6349
U Al
2 6
Direct
0.3333 0.6667 0.2500
0.6667 0.3333 0.7500
0.1519 0.3039 0.7500
0.1519 0.8481 0.7500
0.3039 0.1519 0.2500
0.6961 0.8481 0.7500
0.8481 0.1519 0.2500
0.8481 0.6961 0.2500
```

Energy of formation, eV per atom: -0.11
Density of states at the Fermi level, states/eV/atom: 1.88
Total magnetization, μB per formula unit: 2.434
Final energy, eV for the cell shown: -45.87

***

# 6
Material: UAl2
Method: DFT, PBE
State: optimized geometry

Geometry as POSCAR:
```
UAl2
1.0
5.5895 0.0000 0.0000
-2.7948 4.8407 0.0000
0.0000 0.0000 16.9474
U Al
8 16
Direct
0.0000 0.0000 0.0772
0.0000 0.0000 0.4228
0.0000 0.0000 0.5772
0.0000 0.0000 0.9228
0.3333 0.6667 0.1720
0.3333 0.6667 0.3280
0.6667 0.3333 0.6720
0.6667 0.3333 0.8280
0.0000 0.5000 0.0000
0.0000 0.5000 0.5000
0.1582 0.3165 0.7500
0.1582 0.8418 0.7500
0.3165 0.1582 0.2500
0.3333 0.6667 0.6274
0.3333 0.6667 0.8726
0.5000 0.0000 0.0000
0.5000 0.0000 0.5000
0.5000 0.5000 0.0000
0.5000 0.5000 0.5000
0.6667 0.3333 0.1274
0.6667 0.3333 0.3726
0.6835 0.8418 0.7500
0.8418 0.1582 0.2500
0.8418 0.6835 0.2500
```

Energy of formation, eV per atom: -0.20
Density of states at the Fermi level, states/eV/atom: 1.56
Total magnetization, μB per formula unit: 2.148
Final energy, eV for the cell shown: -154.98

***

# 7
Material: UAl3
Method: DFT, PBE
State: optimized geometry

Geometry as POSCAR:
```
UAl3
1.0
2.7766 0.0000 0.0000
0.0000 4.7807 0.0000
0.0000 0.0000 5.7342
U Al
1 3
Direct
0.0000 0.0000 0.0000
0.0000 0.5000 0.6594
0.5000 0.0000 0.5028
0.5000 0.5000 0.2232
```

Energy of formation, eV per atom: 0.02
Density of states at the Fermi level, states/eV/atom: 1.20
Total magnetization, μB per formula unit: 2.805
Final energy, eV for the cell shown: -22.45

***

# 8
Material: UAl2
Method: DFT, PBE
State: optimized geometry

Geometry as POSCAR:
```
UAl2
1.0
-1.3970 1.9635 5.4173
1.3970 -1.9635 5.4173
1.3970 1.9635 -5.4173
U Al
1 2
Direct
0.0000 0.0000 0.0000
0.3127 0.3127 0.0000
0.6873 0.6873 0.0000
```

Energy of formation, eV per atom: 0.00
Density of states at the Fermi level, states/eV/atom: 1.77
Total magnetization, μB per formula unit: 3.095
Final energy, eV for the cell shown: -18.77